1.
## ZnCrPt4 (PBE-GGA)

Data for a relaxed structure of ZnCrPt4.

extended XYZ file:
```
6
Lattice="0.000 3.712 3.712 3.712 0.000 3.712 3.712 3.712 0.000" Properties=species:S:1:pos:R:3 pbc="T T T"
Zn 5.568 5.568 5.568
Cr 0.000 0.000 0.000
Pt 2.784 4.639 4.639
Pt 4.639 4.639 2.784
Pt 4.639 2.784 4.639
Pt 2.784 2.784 2.784
```

* E: -0.42922 Ry/atom
* size of the total moment: 3.8 μB/f.u.
* space group: No. 216

---

2.
## ZnCr2Pt2 (PBE-GGA)

Data for a relaxed structure of ZnCr2Pt2.

extended XYZ file:
```
10
Lattice="7.404 0.000 0.000 0.000 7.404 0.000 0.000 0.000 2.844" Properties=species:S:1:pos:R:3 pbc="T T T"
Cr 1.193 4.896 1.422
Cr 4.896 6.211 1.422
Cr 6.211 2.509 1.422
Cr 2.509 1.193 1.422
Zn 0.000 0.000 0.000
Zn 3.702 3.702 0.000
Pt 2.690 6.393 0.000
Pt 6.393 4.714 0.000
Pt 4.714 1.012 0.000
Pt 1.012 2.690 0.000
```

* E: -0.47973 Ry/atom
* size of the total moment: 5.5 μB/f.u.
* polymorph energy (0 for the lowest one): 0 meV per atom
* space group: No. 127

---

3.
## ZnCr2Pt (PBE-GGA)

Data for a relaxed structure of ZnCr2Pt.

extended XYZ file:
```
4
Lattice="4.010 0.000 0.000 0.000 2.624 0.007 0.000 2.609 5.029" Properties=species:S:1:pos:R:3 pbc="T T T"
Cr 0.000 2.609 4.883
Cr 0.000 2.616 2.664
Pt 2.005 1.308 1.259
Zn 2.005 3.925 3.777
```

* E: -0.48789 Ry/atom
* size of the total moment: 0.0 μB/f.u.
* space group: No. 47

---

4.
## ZrCrPt4 (PBE-GGA)

Data for a relaxed structure of ZrCrPt4.

extended XYZ file:
```
6
Lattice="0.000 3.732 3.732 3.732 0.000 3.732 3.732 3.732 0.000" Properties=species:S:1:pos:R:3 pbc="T T T"
Zr 5.598 5.598 5.598
Cr 0.000 0.000 0.000
Pt 2.796 4.668 4.668
Pt 4.668 4.668 2.796
Pt 4.668 2.796 4.668
Pt 2.796 2.796 2.796
```

* E: -0.55365 Ry/atom
* size of the total moment: 4.4 μB/f.u.
* space group: No. 216

---

5.
## ZrCrPt (PBE-GGA)

Data for a relaxed structure of ZrCrPt.

extended XYZ file:
```
3
Lattice="-1.017 4.350 0.858 -3.209 -2.821 -1.561 -0.711 -0.706 2.735" Properties=species:S:1:pos:R:3 pbc="T T T"
Cr -0.012 -0.012 0.047
Pt -2.703 -0.654 0.111
Zr -2.221 1.490 1.873
```

* E: -0.60939 Ry/atom
* size of the total moment: 3.7 μB/f.u.
* polymorph energy (0 for the lowest one): 70 meV per atom
* space group: No. 156

---

6.
## Zr2Cr2Pt (PBE-GGA)

Data for a relaxed structure of Zr2Cr2Pt.

extended XYZ file:
```
10
Lattice="6.471 0.000 0.000 0.000 6.471 0.000 0.000 0.000 4.111" Properties=species:S:1:pos:R:3 pbc="T T T"
Cr 2.543 5.778 0.000
Cr 5.778 3.928 0.000
Cr 3.928 0.693 0.000
Cr 0.693 2.543 0.000
Zr 1.197 4.432 2.056
Zr 4.432 5.274 2.056
Zr 5.274 2.039 2.056
Zr 2.039 1.197 2.056
Pt 0.000 0.000 0.000
Pt 3.235 3.235 0.000
```

* E: -0.63809 Ry/atom
* size of the total moment: 0.0 μB/f.u.
* space group: No. 127

---

7.
## Zr2CrPt2 (PBE-GGA)

Data for a relaxed structure of Zr2CrPt2.

extended XYZ file:
```
10
Lattice="7.472 0.000 0.000 0.000 7.472 0.000 0.000 0.000 3.434" Properties=species:S:1:pos:R:3 pbc="T T T"
Cr 0.000 0.000 0.000
Cr 3.736 3.736 0.000
Zr 1.266 5.002 1.717
Zr 5.002 6.206 1.717
Zr 6.206 2.470 1.717
Zr 2.470 1.266 1.717
Pt 2.735 6.471 0.000
Pt 6.471 4.737 0.000
Pt 4.737 1.001 0.000
Pt 1.001 2.735 0.000
```

* E: -0.61680 Ry/atom
* size of the total moment: 3.9 μB/f.u.
* space group: No. 127

---

8.
## ZrCrPt6 (PBE-GGA)

Data for a relaxed structure of ZrCrPt6.

extended XYZ file:
```
8
Lattice="3.991 0.000 0.000 0.000 3.991 0.000 0.000 0.000 7.994" Properties=species:S:1:pos:R:3 pbc="T T T"
Zr 0.000 0.000 0.000
Cr 0.000 0.000 3.997
Pt 1.995 1.995 0.000
Pt 1.995 1.995 3.997
Pt 1.995 0.000 2.038
Pt 1.995 0.000 5.955
Pt 0.000 1.995 2.038
Pt 0.000 1.995 5.955
```

* E: -0.54705 Ry/atom
* size of the total moment: 3.1 μB/f.u.
* space group: No. 123

---

9.
## Zr4CrPt (PBE-GGA)

Data for a relaxed structure of Zr4CrPt.

extended XYZ file:
```
6
Lattice="-0.165 3.774 4.140 -4.767 2.724 1.120 -2.831 -1.123 4.704" Properties=species:S:1:pos:R:3 pbc="T T T"
Zr -5.294 3.377 4.296
Zr -2.994 3.902 5.806
Zr -4.326 1.454 6.088
Zr -2.912 2.016 3.737
Cr -5.822 4.031 7.472
Pt 0.000 0.000 0.000
```

* E: -0.58372 Ry/atom
* size of the total moment: 3.6 μB/f.u.
* space group: No. 216

---

10.
## ZrCrPt (PBE-GGA)

Data for a relaxed structure of ZrCrPt.

extended XYZ file:
```
3
Lattice="6.334 0.002 0.000 5.045 3.829 0.000 -5.689 -1.916 2.019" Properties=species:S:1:pos:R:3 pbc="T T T"
Cr 11.243 3.786 0.000
Pt 3.992 1.344 0.000
Zr 7.521 2.533 0.000
```

* E: -0.60796 Ry/atom
* size of the total moment: 0.0 μB/f.u.
* polymorph energy (0 for the lowest one): 89 meV per atom
* space group: No. 107

---

11.
## ZrCrPt14 (PBE-GGA)

Data for a relaxed structure of ZrCrPt14.

extended XYZ file:
```
16
Lattice="-0.404 -5.227 2.079 5.515 -0.780 -0.888 1.561 2.769 7.265" Properties=species:S:1:pos:R:3 pbc="T T T"
Zr 0.336 -4.671 1.708
Cr 3.295 -2.447 0.225
Pt 4.075 -1.063 3.857
Pt 1.116 -3.287 5.340
Pt 3.093 -5.061 1.264
Pt 3.873 -3.677 4.897
Pt 0.537 -2.057 0.669
Pt 1.318 -0.673 4.301
Pt 5.736 -1.845 5.997
Pt 4.942 -3.251 2.306
Pt 3.209 1.125 5.408
Pt 2.416 -0.282 1.717
Pt 5.935 0.740 4.969
Pt 5.142 -0.667 1.278
Pt 3.009 -1.459 6.436
Pt 2.216 -2.866 2.744
```

* E: -0.49606 Ry/atom
* size of the total moment: 2.1 μB/f.u.
* space group: No. 123

---

12.
## Zr2CrPt9 (PBE-GGA)

Data for a relaxed structure of Zr2CrPt9.

extended XYZ file:
```
12
Lattice="4.014 0.000 0.000 0.000 4.014 0.000 0.000 0.000 12.037" Properties=species:S:1:pos:R:3 pbc="T T T"
Zr 0.000 0.000 3.943
Zr 0.000 0.000 8.094
Cr 0.000 0.000 0.000
Pt 2.007 2.007 0.000
Pt 2.007 2.007 3.989
Pt 2.007 2.007 8.048
Pt 2.007 0.000 1.958
Pt 2.007 0.000 6.019
Pt 2.007 0.000 10.079
Pt 0.000 2.007 1.958
Pt 0.000 2.007 6.019
Pt 0.000 2.007 10.079
```

* E: -0.55340 Ry/atom
* size of the total moment: 3.3 μB/f.u.
* space group: No. 123